No. 1
Entry from Alexandria: an optimized crystal structure of Dy4In5Ag2 (PBE).

## Properties
* DOS at the Fermi energy: 8.36 states/eV/f.u.
* space-group type: P2/m
* formation energy: -0.38 eV/atom

Cell lengths 3.532, 7.787, 10.078 Å; angles 94.46, 90.00, 90.00 degrees
Positions (direct):
Dy  0.500  0.739  0.559
Dy  0.500  0.173  0.880
Dy  0.500  0.261  0.441
Dy  0.500  0.827  0.120
In  0.000  0.557  0.306
In  0.000  0.183  0.160
In  0.000  0.500  0.000
In  0.000  0.817  0.840
In  0.000  0.443  0.694
Ag  0.000  0.065  0.635
Ag  0.000  0.935  0.365

No. 2
Entry from Alexandria: an optimized crystal structure of BaY2CuS4 (PBE).

## Properties
* DOS at the Fermi energy: 1.60 states/eV/f.u.
* space-group type: Cmcm
* E_form (uncorrected): -1.760 eV/atom

Cell lengths 4.004, 7.002, 13.668 Å; angles 90.00, 90.00, 106.62 degrees
Positions (direct):
Ba  0.113  0.227  0.750
Ba  0.887  0.773  0.250
Y  0.372  0.743  0.557
Y  0.628  0.257  0.057
Y  0.628  0.257  0.443
Y  0.372  0.743  0.943
Cu  0.843  0.687  0.750
Cu  0.157  0.313  0.250
S  0.265  0.531  0.115
S  0.735  0.469  0.615
S  0.735  0.469  0.885
S  0.265  0.531  0.385
S  0.000  0.000  0.500
S  0.000  0.000  0.000
S  0.433  0.866  0.750
S  0.567  0.134  0.250

No. 3
Entry from Alexandria: an optimized crystal structure of UTl2Pb2O6 (PBE).

## Properties
* DOS at the Fermi energy: 0.00 states/eV/f.u.
* space-group type: C2/m
* E_form (uncorrected): -1.719 eV/atom

Cell lengths 6.286, 6.286, 6.739 Å; angles 98.07, 98.07, 115.46 degrees
Positions (direct):
U  0.000  0.000  0.500
Tl  0.826  0.174  0.000
Tl  0.174  0.826  0.000
Pb  0.330  0.670  0.500
Pb  0.670  0.330  0.500
O  0.833  0.833  0.713
O  0.038  0.339  0.661
O  0.167  0.167  0.287
O  0.339  0.038  0.661
O  0.962  0.661  0.339
O  0.661  0.962  0.339

No. 4
Entry from Alexandria: an optimized crystal structure of LaMgSi2Pt5 (PBE).

## Properties
* DOS at the Fermi energy: 3.37 states/eV/f.u.
* space-group type: P4/mmm
* E_form (uncorrected): -0.821 eV/atom

Cell lengths 4.114, 4.114, 10.577 Å; angles 90.00, 90.00, 90.00 degrees
Positions (direct):
La  0.000  0.000  0.500
Mg  0.000  0.000  0.000
Si  0.500  0.500  0.276
Si  0.500  0.500  0.724
Pt  0.000  0.500  0.168
Pt  0.500  0.000  0.168
Pt  0.000  0.500  0.832
Pt  0.500  0.000  0.832
Pt  0.500  0.500  0.500

No. 5
Entry from Alexandria: an optimized crystal structure of Dy2Y2Er3 (PBE).

## Properties
* DOS at the Fermi energy: 11.54 states/eV/f.u.
* space-group type: P2_1/c
* formation energy: 0.21 eV/atom
* offset from the most stable computed form: 0.000 eV/atom

Cell lengths 6.492, 10.853, 6.396 Å; angles 90.00, 86.45, 90.00 degrees
Positions (direct):
Dy  0.541  0.350  0.554
Dy  0.959  0.850  0.446
Dy  0.041  0.150  0.554
Dy  0.459  0.650  0.446
Y  0.755  0.735  0.878
Y  0.255  0.765  0.878
Y  0.745  0.235  0.122
Y  0.245  0.265  0.122
Er  0.500  0.500  0.000
Er  0.000  0.000  0.000
Er  0.539  0.045  0.747
Er  0.961  0.545  0.253
Er  0.039  0.455  0.747
Er  0.461  0.955  0.253

No. 6
Entry from Alexandria: an optimized crystal structure of LaZnGa3Pd (PBE).

## Properties
* DOS at the Fermi energy: 1.71 states/eV/f.u.
* space-group type: Cmcm
* formation energy: -0.32 eV/atom

Cell lengths 6.368, 6.414, 6.899 Å; angles 117.70, 90.00, 90.00 degrees
Positions (direct):
La  0.750  0.291  0.582
La  0.250  0.709  0.418
Zn  0.250  0.945  0.891
Zn  0.750  0.055  0.109
Ga  0.250  0.156  0.311
Ga  0.000  0.293  0.000
Ga  0.500  0.707  0.000
Ga  0.500  0.293  0.000
Ga  0.000  0.707  0.000
Ga  0.750  0.844  0.689
Pd  0.250  0.362  0.725
Pd  0.750  0.638  0.275

No. 7
Entry from Alexandria: an optimized crystal structure of ZnSi4P (PBE).

## Properties
* DOS at the Fermi energy: 3.31 states/eV/f.u.
* space-group type: F-43m
* E_form (uncorrected): 0.631 eV/atom

Cell lengths 5.100, 5.100, 5.100 Å; angles 60.00, 60.00, 60.00 degrees
Positions (direct):
Zn  0.750  0.750  0.750
Si  0.875  0.375  0.375
Si  0.375  0.375  0.875
Si  0.375  0.875  0.375
Si  0.375  0.375  0.375
P  0.000  0.000  0.000

No. 8
Entry from Alexandria: an optimized crystal structure of InTc2W (PBE).

## Properties
* DOS at the Fermi energy: 3.98 states/eV/f.u.
* space-group type: Cmmm
* formation energy: 0.28 eV/atom

Cell lengths 2.843, 2.843, 8.968 Å; angles 90.00, 90.00, 112.98 degrees
Positions (direct):
In  0.500  0.500  0.750
Tc  0.000  0.000  0.017
Tc  0.000  0.000  0.483
W  0.500  0.500  0.250

No. 9
Entry from Alexandria: an optimized crystal structure of TbTh2Te2P2 (PBE).

## Properties
* DOS at the Fermi energy: 3.71 states/eV/f.u.
* space-group type: I4/mmm
* E_form (uncorrected): -1.018 eV/atom

Cell lengths 5.113, 5.113, 8.747 Å; angles 106.99, 106.99, 90.00 degrees
Last column: magnetic moment on the atom in μB.
Positions (direct):
Tb  0.000  0.000  0.000  0.02
Th  0.393  0.393  0.786  0.30
Th  0.607  0.607  0.214  0.30
Te  0.190  0.190  0.381  0.01
Te  0.810  0.810  0.619  0.01
P  0.000  0.500  0.000  -0.01
P  0.500  0.000  0.000  -0.01

No. 10
Entry from Alexandria: an optimized crystal structure of Be2NiRu (PBE).

## Properties
* DOS at the Fermi energy: 2.49 states/eV/f.u.
* space-group type: R-3m
* formation energy: -0.09 eV/atom

Cell lengths 7.403, 7.403, 7.403 Å; angles 20.29, 20.29, 20.29 degrees
Positions (direct):
Ru  0.750  0.750  0.750
Be  0.997  0.997  0.997
Be  0.503  0.503  0.503
Ni  0.250  0.250  0.250

No. 11
Entry from Alexandria: an optimized crystal structure of Cs2CdInBr6 (PBE).

## Properties
* DOS at the Fermi energy: 1.87 states/eV/f.u.
* space-group type: I4/mmm
* E_form (uncorrected): -1.214 eV/atom

Cell lengths 8.019, 8.019, 8.035 Å; angles 60.06, 60.06, 90.00 degrees
Positions (direct):
Cs  0.750  0.250  0.500
Cs  0.250  0.750  0.500
Cd  0.500  0.500  0.000
Br  0.251  0.251  0.498
Br  0.749  0.749  0.502
Br  0.252  0.252  0.000
Br  0.748  0.748  0.000
Br  0.748  0.252  0.000
Br  0.252  0.748  0.000
In  0.000  0.000  0.000

No. 12
Entry from Alexandria: an optimized crystal structure of PmReO4F2 (PBE).

## Properties
* DOS at the Fermi energy: 0.00 states/eV/f.u.
* space-group type: P1
* E_form (uncorrected): -2.563 eV/atom

Cell lengths 5.600, 6.291, 4.692 Å; angles 121.72, 111.39, 76.38 degrees
Positions (direct):
Pm  0.145  0.318  0.922
Re  0.692  0.770  0.529
O  0.894  0.693  0.849
O  0.788  0.529  0.167
O  0.364  0.691  0.364
O  0.804  0.035  0.582
F  0.515  0.079  0.940
F  0.185  0.273  0.421

No. 13
Entry from Alexandria: an optimized crystal structure of Tb2YTl (PBE).

## Properties
* DOS at the Fermi energy: 5.41 states/eV/f.u.
* space-group type: P4/mmm
* formation energy: -0.16 eV/atom
* offset from the most stable computed form: 0.038 eV/atom

Cell lengths 3.633, 3.633, 9.203 Å; angles 90.00, 90.00, 90.00 degrees
Positions (direct):
Y  0.500  0.500  0.500
Tl  0.500  0.500  0.000
Tb  0.000  0.000  0.772
Tb  0.000  0.000  0.228

No. 14
Entry from Alexandria: an optimized crystal structure of YGaCu3 (PBE).

## Properties
* DOS at the Fermi energy: 3.37 states/eV/f.u.
* space-group type: P6_3/mmc
* formation energy: -0.08 eV/atom
* offset from the most stable computed form: 0.150 eV/atom

Cell lengths 6.052, 6.052, 11.109 Å; angles 90.00, 90.00, 120.00 degrees
Positions (direct):
Y  0.333  0.667  0.250
Y  0.667  0.333  0.750
Y  0.000  0.000  0.500
Y  0.000  0.000  0.000
Ga  0.667  0.333  0.138
Ga  0.333  0.667  0.638
Ga  0.333  0.667  0.862
Ga  0.667  0.333  0.362
Cu  0.132  0.265  0.750
Cu  0.265  0.132  0.250
Cu  0.868  0.132  0.250
Cu  0.132  0.868  0.750
Cu  0.735  0.868  0.750
Cu  0.868  0.735  0.250
Cu  0.500  0.500  0.500
Cu  0.500  0.000  0.000
Cu  0.500  0.500  0.000
Cu  0.500  0.000  0.500
Cu  0.000  0.500  0.500
Cu  0.000  0.500  0.000

No. 15
Entry from Alexandria: an optimized crystal structure of MgSi (PBE).

## Properties
* DOS at the Fermi energy: 2.00 states/eV/f.u.
* space-group type: F-43m
* E_form (uncorrected): 0.848 eV/atom

Cell lengths 6.115, 6.115, 6.115 Å; angles 90.00, 90.00, 90.00 degrees
Positions (direct):
Mg  0.250  0.250  0.250
Mg  0.250  0.750  0.750
Mg  0.750  0.250  0.750
Mg  0.750  0.750  0.250
Si  0.000  0.000  0.000
Si  0.000  0.500  0.500
Si  0.500  0.000  0.500
Si  0.500  0.500  0.000

No. 16
Entry from Alexandria: an optimized crystal structure of SnGe2Te3 (PBE).

## Properties
* space-group type: Immm
* E_form (uncorrected): -0.132 eV/atom

Cell lengths 4.327, 6.157, 7.534 Å; angles 114.12, 106.69, 90.00 degrees
Positions (direct):
Sn  0.500  0.500  0.500
Ge  0.835  0.835  0.170
Ge  0.165  0.165  0.830
Te  0.823  0.323  0.145
Te  0.177  0.677  0.855
Te  0.500  0.000  0.500

No. 17
Entry from Alexandria: an optimized crystal structure of MgAsRu (PBE).

## Properties
* DOS at the Fermi energy: 2.03 states/eV/f.u.
* space-group type: P2_1
* formation energy: -0.32 eV/atom

Cell lengths 5.718, 5.984, 3.101 Å; angles 89.99, 105.87, 90.03 degrees
Positions (direct):
Ru  0.028  0.325  0.159
Ru  0.027  0.825  0.159
Mg  0.707  0.076  0.498
Mg  0.347  0.576  0.820
As  0.271  0.075  0.782
As  0.784  0.575  0.536

No. 18
Entry from Alexandria: an optimized crystal structure of Al2Fe2Hg (PBE).

## Properties
* DOS at the Fermi energy: 4.67 states/eV/f.u.
* space-group type: P4/mbm
* formation energy: 0.08 eV/atom
* offset from the most stable computed form: 0.062 eV/atom

Cell lengths 7.220, 7.220, 2.784 Å; angles 90.00, 90.00, 90.00 degrees
Last column: magnetic moment on the atom in μB.
Positions (direct):
Al  0.366  0.866  0.000  -0.05
Al  0.866  0.634  0.000  -0.05
Al  0.634  0.134  0.000  -0.05
Al  0.134  0.366  0.000  -0.05
Hg  0.000  0.000  0.000  -0.04
Hg  0.500  0.500  0.000  -0.04
Fe  0.158  0.658  0.500  1.66
Fe  0.658  0.842  0.500  1.68
Fe  0.842  0.342  0.500  1.66
Fe  0.342  0.158  0.500  1.68

No. 19
Entry from Alexandria: an optimized crystal structure of Er4Bi2PbSe (PBE).

## Properties
* DOS at the Fermi energy: 1.65 states/eV/f.u.
* space-group type: P2/m
* E_form (uncorrected): -0.925 eV/atom

Cell lengths 4.340, 7.551, 7.533 Å; angles 70.69, 90.00, 90.00 degrees
Positions (direct):
Er  0.000  0.739  0.754
Er  0.000  0.261  0.246
Er  0.500  0.741  0.249
Er  0.500  0.259  0.751
Bi  0.000  0.000  0.000
Bi  0.500  0.000  0.500
Pb  0.000  0.500  0.500
Se  0.500  0.500  0.000

No. 20
Entry from Alexandria: an optimized crystal structure of KCr2Rh (PBE).

## Properties
* DOS at the Fermi energy: 3.95 states/eV/f.u.
* space-group type: I4_1/amd
* formation energy: 1.09 eV/atom
* offset from the most stable computed form: 0.534 eV/atom

Cell lengths 5.752, 5.752, 8.759 Å; angles 70.83, 70.83, 90.00 degrees
Last column: magnetic moment on the atom in μB.
Positions (direct):
Cr  0.875  0.125  0.250  3.59
Cr  0.875  0.625  0.250  3.57
Cr  0.375  0.125  0.750  3.71
Cr  0.875  0.125  0.750  3.58
K  0.500  0.500  0.000  0.02
K  0.250  0.750  0.500  0.02
Rh  0.000  0.000  0.000  -0.25
Rh  0.750  0.250  0.500  -0.25

| no. | total magnetic moment (μB/cell) |
| --- | --- |
| 1 | 0.0 |
| 2 | 0.0 |
| 3 | 0.0 |
| 4 | 0.0 |
| 5 | 0.0 |
| 6 | 0.0 |
| 7 | 0.0 |
| 8 | 0.0 |
| 9 | 0.9 |
| 10 | 0.0 |
| 11 | 0.0 |
| 12 | 0.0 |
| 13 | 0.0 |
| 14 | 0.0 |
| 15 | 0.0 |
| 16 | 0.0 |
| 17 | 0.0 |
| 18 | 6.1 |
| 19 | 0.0 |
| 20 | 16.5 |